Entry a
Compound: NaMg5
Source: the Alexandria database
Functional: PBE-GGA
Structure: optimized geometry

Unit cell a=3.2930 b=3.2930 c=13.7765 alpha=90.00 beta=90.00 gamma=90.00
With the nearest neighbours (Å) after each atom.
Fractional coordinates of all 6 atoms:
1 Na 0.5000 0.5000 0.5000  4 Na 3.29, 8 Mg 3.52
2 Mg 0.0000 0.0000 0.6916  8 Mg 3.17-3.29, 4 Na 3.52
3 Mg 0.5000 0.5000 0.8473  12 Mg 3.14-3.29
4 Mg 0.0000 0.0000 0.0000  12 Mg 3.14-3.29
5 Mg 0.5000 0.5000 0.1527  12 Mg 3.14-3.29
6 Mg 0.0000 0.0000 0.3084  8 Mg 3.17-3.29, 4 Na 3.52

Computed properties:
The calculation puts the magnetization at 0.000 Bohr magnetons per cell.

Entry b
Compound: NaMg5
Source: the Alexandria database
Functional: PBE-GGA
Structure: optimized geometry

Unit cell a=5.6284 b=5.6284 c=5.3279 alpha=90.00 beta=90.00 gamma=120.00
With the nearest neighbours (Å) after each atom.
Fractional coordinates of all 6 atoms:
1 Na 0.0000 0.0000 0.5000  12 Mg 3.25-3.30
2 Mg 0.6529 0.0000 0.0000  10 Mg 3.18-3.38, 2 Na 3.30
3 Mg 0.3471 0.3471 0.0000  10 Mg 3.18-3.38, 2 Na 3.30
4 Mg 0.0000 0.6529 0.0000  10 Mg 3.18-3.38, 2 Na 3.30
5 Mg 0.6667 0.3333 0.5000  9 Mg 3.24-3.25, 3 Na 3.25
6 Mg 0.3333 0.6667 0.5000  9 Mg 3.24-3.25, 3 Na 3.25

Computed properties:
The calculation puts the magnetization at 0.000 Bohr magnetons per cell.

Which of them is most stable? Easy: entry a.

Entry a
Compound: NaMg5
Source: the Alexandria database
Functional: PBE-GGA
Structure: optimized geometry

Unit cell a=8.7124 b=8.7124 c=5.3120 alpha=90.00 beta=90.00 gamma=158.71
With the nearest neighbours (Å) after each atom.
Fractional coordinates of all 6 atoms:
1 Na 0.9988 0.0012 0.0000  2 Na 3.22, 10 Mg 3.28-3.36
2 Mg 0.2220 0.7780 0.5000  12 Mg 3.19-3.24
3 Mg 0.3271 0.6729 0.0000  10 Mg 3.12-3.27, 2 Na 3.35
4 Mg 0.5612 0.4388 0.5000  8 Mg 3.19-3.40, 4 Na 3.28
5 Mg 0.6713 0.3287 0.0000  10 Mg 3.12-3.26, 2 Na 3.36
6 Mg 0.8863 0.1137 0.5000  10 Mg 3.22-3.40, 2 Na 3.28

Computed properties:
The calculation puts the magnetization at 0.000 Bohr magnetons per cell.

Entry b
Compound: NaMg5
Source: the Alexandria database
Functional: PBE-GGA
Structure: optimized geometry

Unit cell a=7.0797 b=7.0797 c=4.6232 alpha=90.00 beta=90.00 gamma=140.59
With the nearest neighbours (Å) after each atom.
Fractional coordinates of all 6 atoms:
1 Na 0.5000 0.5000 0.0000  12 Mg 3.24-3.32
2 Mg 0.3299 0.6701 0.5000  10 Mg 3.14-3.32, 2 Na 3.24
3 Mg 0.1708 0.8292 0.0000  10 Mg 3.14-3.32, 2 Na 3.30
4 Mg 0.0000 0.0000 0.5000  8 Mg 3.24-3.29, 4 Na 3.32
5 Mg 0.8292 0.1708 0.0000  10 Mg 3.14-3.32, 2 Na 3.30
6 Mg 0.6701 0.3299 0.5000  10 Mg 3.14-3.32, 2 Na 3.24

Computed properties:
The calculation puts the magnetization at 0.000 Bohr magnetons per cell.

Which of them is most stable? Easy: entry a.

Entry a
Compound: Na2Mg3
Source: the Alexandria database
Functional: PBE-GGA
Structure: optimized geometry

Unit cell a=14.6108 b=14.6108 c=14.6108 alpha=12.80 beta=12.80 gamma=12.80
With the nearest neighbours (Å) after each atom.
Fractional coordinates of all 5 atoms:
1 Na 0.5986 0.5986 0.5986  6 Na 3.26, 6 Mg 3.50-3.51
2 Na 0.4014 0.4014 0.4014  6 Na 3.26, 6 Mg 3.50-3.51
3 Mg 0.0000 0.0000 0.0000  6 Mg 3.26, 6 Na 3.51
4 Mg 0.8026 0.8026 0.8026  9 Mg 3.26, 3 Na 3.50
5 Mg 0.1974 0.1974 0.1974  9 Mg 3.26, 3 Na 3.50

Computed properties:
The calculation puts the magnetization at 0.000 Bohr magnetons per cell.

Entry b
Compound: Na2Mg3
Source: the Alexandria database
Functional: PBE-GGA
Structure: optimized geometry

Unit cell a=3.3147 b=7.5217 c=12.3564 alpha=62.86 beta=81.29 gamma=77.58
With the nearest neighbours (Å) after each atom.
Fractional coordinates of all 10 atoms:
1 Na 0.7318 0.5958 0.1955  8 Mg 3.26-3.49, 4 Na 3.31-3.35
2 Na 0.5205 0.4039 0.8048  8 Mg 3.25-3.49, 4 Na 3.30-3.37
3 Na 0.3257 0.1963 0.3978  6 Na 3.29-3.35, 6 Mg 3.43-3.51
4 Na 0.9185 0.8034 0.6026  6 Na 3.29-3.37, 6 Mg 3.41-3.52
5 Mg 0.4477 0.2797 0.0952  8 Mg 3.21-3.51, 4 Na 3.25-3.49
6 Mg 0.8138 0.7201 0.9049  8 Mg 3.22-3.51, 4 Na 3.26-3.49
7 Mg 0.0323 0.8920 0.2953  7 Mg 3.26-3.34, 5 Na 3.36-3.52
8 Mg 0.2165 0.1086 0.7042  7 Mg 3.25-3.35, 5 Na 3.35-3.51
9 Mg 0.1243 0.9996 0.9999  8 Mg 3.21-3.34, 4 Na 3.29-3.36
10 Mg 0.6191 0.5007 0.4998  6 Mg 3.28-3.35, 6 Na 3.41-3.47

Computed properties:
The calculation puts the magnetization at 0.000 Bohr magnetons per cell.

Which of them is most stable? Easy: entry a.

Entry a
Compound: Na5Mg4
Source: the Alexandria database
Functional: PBE-GGA
Structure: optimized geometry

Unit cell a=9.6459 b=9.6459 c=6.6004 alpha=90.00 beta=90.00 gamma=120.00
With the nearest neighbours (Å) after each atom.
Fractional coordinates of all 18 atoms:
1 Na 0.0000 0.6333 0.2500  5 Mg 3.22-3.39, 4 Na 3.48
2 Na 0.3667 0.3667 0.2500  5 Mg 3.22-3.39, 4 Na 3.48
3 Na 0.6333 0.0000 0.2500  5 Mg 3.22-3.39, 4 Na 3.48
4 Na 0.0000 0.3667 0.7500  5 Mg 3.22-3.39, 4 Na 3.48
5 Na 0.6333 0.6333 0.7500  5 Mg 3.22-3.39, 4 Na 3.48
6 Na 0.3667 0.0000 0.7500  5 Mg 3.22-3.39, 4 Na 3.48
7 Na 0.6667 0.3333 0.0000  8 Na 3.30-3.48
8 Na 0.3333 0.6667 0.5000  8 Na 3.30-3.48
9 Na 0.3333 0.6667 0.0000  8 Na 3.30-3.48
10 Na 0.6667 0.3333 0.5000  8 Na 3.30-3.48
11 Mg 0.0000 0.0000 0.0000  8 Mg 3.21-3.30
12 Mg 0.0000 0.0000 0.5000  8 Mg 3.21-3.30
13 Mg 0.0000 0.2853 0.2500  2 Mg 3.21, 5 Na 3.22-3.39
14 Mg 0.7147 0.7147 0.2500  2 Mg 3.21, 5 Na 3.22-3.39
15 Mg 0.2853 0.0000 0.2500  2 Mg 3.21, 5 Na 3.22-3.39
16 Mg 0.0000 0.7147 0.7500  2 Mg 3.21, 5 Na 3.22-3.39
17 Mg 0.2853 0.2853 0.7500  2 Mg 3.21, 5 Na 3.22-3.39
18 Mg 0.7147 0.0000 0.7500  2 Mg 3.21, 5 Na 3.22-3.39

Computed properties:
The calculation puts the magnetization at 0.000 Bohr magnetons per cell.

Entry b
Compound: Na5Mg4
Source: the Alexandria database
Functional: PBE-GGA
Structure: optimized geometry

Unit cell a=8.4763 b=8.4763 c=8.4763 alpha=92.91 beta=92.91 gamma=153.94
With the nearest neighbours (Å) after each atom.
Fractional coordinates of all 9 atoms:
1 Na 0.0000 0.0000 0.0000  8 Na 3.39-3.40
2 Na 0.3301 0.3301 0.6602  4 Na 3.26-3.39, 4 Mg 3.47
3 Na 0.3301 0.6699 0.0000  4 Na 3.26-3.40, 4 Mg 3.47
4 Na 0.6699 0.3301 0.0000  4 Na 3.26-3.40, 4 Mg 3.47
5 Na 0.6699 0.6699 0.3398  4 Na 3.26-3.39, 4 Mg 3.47
6 Mg 0.0000 0.3503 0.3503  5 Mg 3.12-3.50, 4 Na 3.47
7 Mg 0.0000 0.6497 0.6497  5 Mg 3.12-3.50, 4 Na 3.47
8 Mg 0.3503 0.0000 0.3503  5 Mg 3.12-3.50, 4 Na 3.47
9 Mg 0.6497 0.0000 0.6497  5 Mg 3.12-3.50, 4 Na 3.47

Computed properties:
The calculation puts the magnetization at 0.000 Bohr magnetons per cell.

Which of them is most stable? Easy: entry b.